Entry 1:
Entry from the Alexandria database: NaPO3 after structural relaxation (PBE).

Total DFT energy (no corrections)   -5.830 eV per atom
D(E_F)   0.17 states/eV/f.u.

Unit cell a=3.415 b=3.415 c=3.415 alpha=90.00 beta=90.00 gamma=90.00
Space group Pm-3m (No. 221)
Symmetry-distinct sites (fractional):
Na 0.000 0.000 0.000
P 0.500 0.500 0.500
O 0.000 0.500 0.500



Entry 2:
Entry from the Alexandria database: LiMgBe after structural relaxation (PBE).

Energy above the lowest structure with this stoichiometry   87.9 meV per atom
D(E_F)   0.57 states/eV/f.u.

Unit cell a=2.947 b=2.947 c=10.491 alpha=90.00 beta=90.00 gamma=90.00
Space group I4mm (No. 107)
Symmetry-distinct sites (fractional):
Li 0.000 0.000 0.000
Mg 0.000 0.000 0.704
Be 0.000 0.000 0.365